Entry 1:
This record from Alexandria describes a geometry-optimized KNiAgSb structure. The functional is PBE-GGA.

Lattice parameters (Å, degrees): 4.1039 4.1039 12.7407 90.00 90.00 90.00
With the nearest neighbours (Å) after each atom.
Atoms (fractional coordinates):
Sb 0.2500 0.2500 0.1125  4 Ni 2.50
Ni 0.2500 0.7500 0.0000  4 Sb 2.50
Sb 0.7500 0.7500 0.8875  4 Ni 2.50
Ag 0.7500 0.2500 0.5000  4 Ag 2.90
K 0.7500 0.7500 0.2714  4 Sb 3.54, 4 Ag 3.56
Ag 0.2500 0.7500 0.5000  4 Ag 2.90
K 0.2500 0.2500 0.7286  4 Sb 3.54, 4 Ag 3.56
Ni 0.7500 0.2500 0.0000  4 Sb 2.50

SG: P4/nmm (129)
formation energy without anion corrections: -0.09 eV per atom

Entry 2:
This record from Alexandria describes a geometry-optimized Na2SrBi2Au2 structure. The functional is PBE-GGA.

Lattice parameters (Å, degrees): 4.9601 4.9601 9.9538 75.57 75.57 60.00
With the nearest neighbours (Å) after each atom.
Atoms (fractional coordinates):
Bi 0.2542 0.2542 0.2375  3 Au 2.87
Au 0.4050 0.4050 0.7850  3 Bi 2.87
Na 0.8654 0.8654 0.4037  4 Bi 3.27-3.42, 3 Au 3.38, 3 Na 3.40
Bi 0.7458 0.7458 0.7625  3 Au 2.87
Na 0.1346 0.1346 0.5963  4 Bi 3.27-3.42, 3 Au 3.38, 3 Na 3.40
Au 0.5950 0.5950 0.2150  3 Bi 2.87
Sr 0.0000 0.0000 0.0000  6 Au 3.52, 6 Bi 3.65, 2 Na 3.85

SG: R-3m (166)
energy of formation from the pure elements: -0.514 eV/atom

| no. | E_tot (eV per atom) |
| --- | --- |
| 1 | -3.552 |
| 2 | -3.177 |